Compound: Na2CdPb8
Source: the Alexandria database
Functional: PBE-GGA
Structure: relaxed

Cell and atoms, written as CIF:
```
data_Na2CdPb8
_cell_length_a 6.117
_cell_length_b 8.320
_cell_length_c 8.320
_cell_angle_alpha 60.44
_cell_angle_beta 78.85
_cell_angle_gamma 78.85
_symmetry_space_group_name_H-M 'P 1'
_symmetry_Int_Tables_number 1
_symmetry_space_group_name_Hall 'P 1'
loop_
_atom_site_label
_atom_site_type_symbol
_atom_site_fract_x
_atom_site_fract_y
_atom_site_fract_z
_atom_site_occupancy
Pb1 Pb 0.782 0.641 0.236 1
Pb2 Pb 0.218 0.764 0.359 1
Pb3 Pb 0.345 0.361 0.361 1
Pb4 Pb 0.056 0.762 0.762 1
Pb5 Pb 0.944 0.238 0.238 1
Pb6 Pb 0.218 0.359 0.764 1
Pb7 Pb 0.655 0.639 0.639 1
Pb8 Pb 0.782 0.236 0.641 1
Na1 Na 0.490 0.871 0.871 1
Na2 Na 0.510 0.129 0.129 1
Cd1 Cd 0.000 0.000 0.000 1
```

Calculated values
- ΔE_f: 0.9 kcal/mol of atoms
- V: 358.96 Å³/f.u.
- Offset from the most stable computed form: 87.7 meV/atom